Material: ScBeSn3
Method: DFT, GGA-PBEsol
State: optimized geometry

abc: 4.8589 4.8589 4.8589
angles: 90.00 90.00 90.00
With the nearest neighbours (Å) after each atom.
Element x y z (fractional)
1 Sc 0.0000 0.0000 0.0000  12 Sn 3.44
2 Be 0.5000 0.5000 0.5000  6 Sn 2.43
3 Sn 0.0000 0.5000 0.5000  2 Be 2.43
4 Sn 0.5000 0.0000 0.5000  2 Be 2.43
5 Sn 0.5000 0.5000 0.0000  2 Be 2.43

## Properties
N(E_F) = 3.27 states/eV/cell
total magnetization = 0.00 μB/atom
E_form = 239 meV/atom